No. 1
# CaSeI3

A relaxed CaSeI3 crystal (PBE, Alexandria via LeMat-Bulk).

Results
N(E_F)   2.0 states/eV/cell
Excess energy over the best structure of this formula in the dataset   64 meV per atom
Space-group type   No. 221
Calculated volume   197.8 Å³/f.u.
Final energy   -2.33 eV per atom
Formation energy (no corrections)   -6.87 kcal/mol of atoms
Total magnetic moment   0.0 μB per cell

a = 5.8270 Å, b = 5.8270 Å, c = 5.8270 Å
α = 90.00°, β = 90.00°, γ = 90.00°
Last column: nearest neighbours and their distance in Å.
Fractional coordinates of all 5 atoms:
I 0.0000 0.5000 0.0000  2 Se 2.91
I 0.0000 0.0000 0.5000  2 Se 2.91
I 0.5000 0.0000 0.0000  2 Se 2.91
Ca 0.5000 0.5000 0.5000  12 I 4.12
Se 0.0000 0.0000 0.0000  6 I 2.91

=====

No. 2
# BaAgSeBr2

A relaxed BaAgSeBr2 crystal (PBE, Alexandria via LeMat-Bulk).

Results
N(E_F)   6.2 states/eV/cell
Excess energy over the best structure of this formula in the dataset   564 meV per atom
Space-group type   No. 123
Calculated volume   248.5 Å³/f.u.
Final energy   -2.77 eV per atom
Formation energy (no corrections)   -10.40 kcal/mol of atoms
Total magnetic moment   1.0 μB per cell

a = 6.2238 Å, b = 6.2238 Å, c = 6.4149 Å
α = 90.00°, β = 90.00°, γ = 90.00°
Last column: nearest neighbours and their distance in Å.
Fractional coordinates of all 5 atoms:
Br 0.0000 0.5000 0.0000  2 Ba 3.11
Br 0.5000 0.0000 0.0000  2 Ba 3.11
Se 0.0000 0.0000 0.5000  2 Ba 3.21
Ba 0.0000 0.0000 0.0000  4 Br 3.11, 2 Se 3.21
Ag 0.5000 0.5000 0.5000  4 Se 4.40, 8 Br 4.47

=====

No. 3
# HgSeS2

A relaxed HgSeS2 crystal (PBE, Alexandria via LeMat-Bulk).

Results
Excess energy over the best structure of this formula in the dataset   0 meV per atom
Space-group type   No. 2
Calculated volume   154.8 Å³/f.u.
Final energy   -2.97 eV per atom
Formation energy (no corrections)   0.85 kcal/mol of atoms
Total magnetic moment   0.0 μB per cell

a = 6.0509 Å, b = 11.1877 Å, c = 9.1555 Å
α = 87.49°, β = 89.95°, γ = 89.99°
Last column: nearest neighbours and their distance in Å.
Fractional coordinates of all 16 atoms:
Hg 0.6120 0.2515 0.2472  2 Se 2.49
Hg 0.1121 0.2489 0.2523  2 Se 2.49
Hg 0.3880 0.7485 0.7528  2 Se 2.49
Hg 0.8879 0.7511 0.7477  2 Se 2.49
Se 0.3635 0.0844 0.1842  2 Hg 2.49
Se 0.8632 0.4161 0.3153  2 Hg 2.49
Se 0.6365 0.9156 0.8158  2 Hg 2.49
Se 0.1368 0.5839 0.6847  2 Hg 2.49
S 0.4377 0.2826 0.6449  2 S 2.09
S 0.9375 0.2171 0.8550  2 S 2.09
S 0.5623 0.7174 0.3551  2 S 2.09
S 0.0625 0.7829 0.1450  2 S 2.09
S 0.1877 0.1644 0.7142  2 S 2.09
S 0.6875 0.3353 0.7857  2 S 2.09
S 0.8123 0.8356 0.2858  2 S 2.09
S 0.3125 0.6647 0.2143  2 S 2.09

=====

No. 4
# PaSiMo2C

A relaxed PaSiMo2C crystal (PBE, Alexandria via LeMat-Bulk).

Results
N(E_F)   5.2 states/eV/cell
Space-group type   No. 63
Calculated volume   79.9 Å³/f.u.
Final energy   -9.58 eV per atom
Formation energy (no corrections)   -9.67 kcal/mol of atoms
Total magnetic moment   0.0 μB per cell

a = 3.4868 Å, b = 6.1111 Å, c = 7.8266 Å
α = 90.00°, β = 90.00°, γ = 106.58°
Last column: nearest neighbours and their distance in Å.
Fractional coordinates of all 10 atoms:
Pa 0.4691 0.9382 0.7500  4 C 2.65
Pa 0.5309 0.0618 0.2500  4 C 2.65
Si 0.7560 0.5121 0.7500  6 Mo 2.51-2.58
Si 0.2440 0.4879 0.2500  6 Mo 2.51-2.58
Mo 0.1681 0.3363 0.9406  1 C 2.02
Mo 0.8319 0.6637 0.0594  1 C 2.02
Mo 0.1681 0.3363 0.5594  1 C 2.02
Mo 0.8319 0.6637 0.4406  1 C 2.02
C 0.0000 0.0000 0.0000  2 Mo 2.02
C 0.0000 0.0000 0.5000  2 Mo 2.02

=====

No. 5
# AcPmGeTe

A relaxed AcPmGeTe crystal (PBE, Alexandria via LeMat-Bulk).

Results
N(E_F)   2.5 states/eV/cell
Space-group type   No. 216
Calculated volume   119.0 Å³/f.u.
Final energy   -5.01 eV per atom
Formation energy (no corrections)   -19.80 kcal/mol of atoms
Total magnetic moment   0.0 μB per cell

a = 5.5205 Å, b = 5.5205 Å, c = 5.5205 Å
α = 60.00°, β = 60.00°, γ = 60.00°
Last column: nearest neighbours and their distance in Å.
Fractional coordinates of all 4 atoms:
Ac 0.5000 0.5000 0.5000  4 Ge 3.38, 4 Te 3.38
Te 0.2500 0.2500 0.2500  4 Ac 3.38, 4 Pm 3.38
Ge 0.7500 0.7500 0.7500  4 Pm 3.38, 4 Ac 3.38
Pm 0.0000 0.0000 0.0000  4 Te 3.38, 4 Ge 3.38

=====

No. 6
# BaSiRu2

A relaxed BaSiRu2 crystal (PBE, Alexandria via LeMat-Bulk).

Results
N(E_F)   4.9 states/eV/cell
Space-group type   No. 10
Calculated volume   80.6 Å³/f.u.
Final energy   -6.24 eV per atom
Formation energy (no corrections)   5.47 kcal/mol of atoms
Total magnetic moment   0.0 μB per cell

a = 3.6616 Å, b = 3.0897 Å, c = 7.5355 Å
α = 70.98°, β = 90.00°, γ = 90.00°
Last column: nearest neighbours and their distance in Å.
Fractional coordinates of all 4 atoms:
Ba 0.5000 0.7500 0.7500  2 Ba 3.09, 4 Ru 3.28
Ru 0.0000 0.0802 0.0896  2 Si 2.35, 1 Ru 2.61
Ru 0.0000 0.4198 0.4104  2 Si 2.35, 1 Ru 2.61
Si 0.5000 0.2500 0.2500  4 Ru 2.35

=====

No. 7
# LiCa3Sm3Te8

A relaxed LiCa3Sm3Te8 crystal (PBE, Alexandria via LeMat-Bulk).

Results
N(E_F)   0.1 states/eV/cell
Space-group type   No. 166
Calculated volume   504.0 Å³/f.u.
Final energy   -4.56 eV per atom
Formation energy (no corrections)   -32.51 kcal/mol of atoms
Total magnetic moment   0.0 μB per cell

a = 8.9067 Å, b = 8.9067 Å, c = 8.9582 Å
α = 119.81°, β = 90.00°, γ = 120.00°
Last column: nearest neighbours and their distance in Å.
Fractional coordinates of all 15 atoms:
Li 0.0000 0.0000 0.5000  6 Te 3.11
Ca 0.0000 0.0000 0.0000  6 Te 3.16-3.19
Ca 0.0000 0.5000 0.0000  6 Te 3.16-3.19
Ca 0.5000 0.5000 0.0000  6 Te 3.16-3.19
Sm 0.5000 0.0000 0.5000  6 Te 3.13-3.15
Sm 0.5000 0.5000 0.5000  6 Te 3.13-3.15
Sm 0.0000 0.5000 0.5000  6 Te 3.13-3.15
Te 0.2503 0.5007 0.2510  3 Sm 3.15, 3 Ca 3.16
Te 0.7497 0.4993 0.7490  3 Sm 3.15, 3 Ca 3.16
Te 0.7539 0.5079 0.2588  1 Li 3.11, 2 Sm 3.13, 2 Ca 3.19
Te 0.2461 0.4921 0.7412  1 Li 3.11, 2 Sm 3.13, 2 Ca 3.19
Te 0.7539 0.0048 0.2587  1 Li 3.11, 2 Sm 3.13, 2 Ca 3.19
Te 0.2461 0.9952 0.7413  1 Li 3.11, 2 Sm 3.13, 2 Ca 3.19
Te 0.2509 0.0048 0.2587  1 Li 3.11, 2 Sm 3.13, 2 Ca 3.19
Te 0.7491 0.9952 0.7413  1 Li 3.11, 2 Sm 3.13, 2 Ca 3.19

=====

No. 8
# CaCrCd2

A relaxed CaCrCd2 crystal (PBE, Alexandria via LeMat-Bulk).

Results
E_form   0.15 eV per atom
N(E_F)   1.5 states/eV/cell
Space-group type   No. 8
Calculated volume   90.4 Å³/f.u.
Final energy   -3.22 eV per atom
Total magnetic moment   4.4 μB per cell

a = 5.2495 Å, b = 5.2495 Å, c = 4.8004 Å
α = 62.65°, β = 62.65°, γ = 52.74°
Last column: nearest neighbours and their distance in Å.
Fractional coordinates of all 4 atoms:
Cr 0.4966 0.4966 0.5021  8 Cd 3.06-3.36, 4 Ca 3.10-3.12
Ca 0.2493 0.2493 0.2507  4 Cr 3.10-3.12, 8 Cd 3.10-3.35
Cd 0.0028 0.0028 0.9984  4 Cd 3.08-3.15, 4 Ca 3.10-3.12, 4 Cr 3.34-3.36
Cd 0.7513 0.7513 0.7489  4 Cr 3.06-3.17, 4 Cd 3.08-3.15, 4 Ca 3.35